# 1
! LaCrSe | Alexandria via LeMat-Bulk | GGA-PBE | relaxed; values from VASP
&SYSTEM
  ibrav = 0, nat = 3, ntyp = 3
/
ATOMIC_SPECIES
La 138.91 La.upf
Se 78.96 Se.upf
Cr 52.00 Cr.upf
ATOMIC_POSITIONS crystal
La 0.5000 0.5000 0.5000
Se 0.2500 0.2500 0.2500
Cr 0.0000 0.0000 0.0000
CELL_PARAMETERS angstrom
4.8494 0.0000 0.0000
2.4247 4.1997 0.0000
2.4247 1.3999 3.9595
! - uncorrected formation energy (kcal/mol of atoms) = -6.21
! - symmetry = F-43m (216)
! - total moment (Bohr magnetons per cell) = 4.73
! - excess energy over the best structure of this formula in the dataset (kJ per mole of atoms) = 30.9
! - DOS at the Fermi energy (states/eV/f.u.) = 3.10
! - ρ (g/cm3) = 5.557

# 2
! LaCrSe4 | Alexandria via LeMat-Bulk | GGA-PBE | relaxed; values from VASP
&SYSTEM
  ibrav = 0, nat = 6, ntyp = 3
/
ATOMIC_SPECIES
Se 78.96 Se.upf
La 138.91 La.upf
Cr 52.00 Cr.upf
ATOMIC_POSITIONS crystal
Se 0.3755 0.3755 0.8735
Se 0.8735 0.3755 0.3755
Se 0.3755 0.8735 0.3755
Se 0.3755 0.3755 0.3755
La 0.0000 0.0000 0.0000
Cr 0.7500 0.7500 0.7500
CELL_PARAMETERS angstrom
0.0000 4.1363 4.1363
4.1363 0.0000 4.1363
4.1363 4.1363 0.0000
! - uncorrected formation energy (kcal/mol of atoms) = 0.22
! - symmetry = F-43m (216)
! - total moment (Bohr magnetons per cell) = 5.56
! - DOS at the Fermi energy (states/eV/f.u.) = 5.13
! - ρ (g/cm3) = 5.945

# 3
! LaCrSe | Alexandria via LeMat-Bulk | GGA-PBE | relaxed; values from VASP
&SYSTEM
  ibrav = 0, nat = 3, ntyp = 3
/
ATOMIC_SPECIES
Se 78.96 Se.upf
Cr 52.00 Cr.upf
La 138.91 La.upf
ATOMIC_POSITIONS crystal
Se 0.0000 0.0000 0.0000
Cr 0.5000 0.5000 0.5000
La 0.2500 0.2500 0.2500
CELL_PARAMETERS angstrom
-2.2977 4.5190 0.4177
-3.0293 1.6675 -3.7306
-5.0295 0.2388 0.7228
! - uncorrected formation energy (kcal/mol of atoms) = -0.80
! - symmetry = F-43m (216)
! - total moment (Bohr magnetons per cell) = 5.07
! - excess energy over the best structure of this formula in the dataset (kJ per mole of atoms) = 53.5
! - DOS at the Fermi energy (states/eV/f.u.) = 0.80
! - ρ (g/cm3) = 4.815

# 4
! La2CrSe2 | Alexandria via LeMat-Bulk | GGA-PBE | relaxed; values from VASP
&SYSTEM
  ibrav = 0, nat = 5, ntyp = 3
/
ATOMIC_SPECIES
La 138.91 La.upf
Se 78.96 Se.upf
Cr 52.00 Cr.upf
ATOMIC_POSITIONS crystal
La 0.2500 0.7500 0.5000
La 0.7500 0.2500 0.5000
Se 0.7080 0.7080 0.5841
Se 0.2920 0.2920 0.4159
Cr 0.0000 0.0000 0.0000
CELL_PARAMETERS angstrom
5.9623 0.0000 0.0000
0.0000 5.9623 0.0000
2.9812 2.9812 4.2366
! - uncorrected formation energy (kcal/mol of atoms) = -20.73
! - symmetry = I4/mmm (139)
! - total moment (Bohr magnetons per cell) = 4.77
! - excess energy over the best structure of this formula in the dataset (kJ per mole of atoms) = 0.0
! - DOS at the Fermi energy (states/eV/f.u.) = 4.36
! - ρ (g/cm3) = 5.377

# 5
! La2TiCrSe | Alexandria via LeMat-Bulk | GGA-PBE | relaxed; values from VASP
&SYSTEM
  ibrav = 0, nat = 5, ntyp = 4
/
ATOMIC_SPECIES
La 138.91 La.upf
Cr 52.00 Cr.upf
Se 78.96 Se.upf
Ti 47.87 Ti.upf
ATOMIC_POSITIONS crystal
La 0.5000 0.0000 0.0000
La 0.0000 0.0000 0.5000
Cr 0.0000 0.5000 0.0000
Se 0.0000 0.0000 0.0000
Ti 0.5000 0.5000 0.5000
CELL_PARAMETERS angstrom
5.7466 0.0000 0.0000
0.0000 4.6301 0.0000
0.0000 0.0000 5.7466
! - uncorrected formation energy (kcal/mol of atoms) = 1.75
! - symmetry = P4/mmm (123)
! - total moment (Bohr magnetons per cell) = 0.15
! - DOS at the Fermi energy (states/eV/f.u.) = 10.22
! - ρ (g/cm3) = 4.959

# 6
! LaCrSi2 | Alexandria via LeMat-Bulk | GGA-PBE | relaxed; values from VASP
&SYSTEM
  ibrav = 0, nat = 4, ntyp = 3
/
ATOMIC_SPECIES
Si 28.09 Si.upf
Cr 52.00 Cr.upf
La 138.91 La.upf
ATOMIC_POSITIONS crystal
Si 0.5000 0.5000 0.0000
Si 0.0000 0.0000 0.0000
Cr 0.5000 0.0000 0.5000
La 0.0000 0.5000 0.5000
CELL_PARAMETERS angstrom
4.3605 0.0000 0.0000
0.0000 4.3604 0.0000
0.0000 0.0000 4.2465
! - uncorrected formation energy (kcal/mol of atoms) = 1.20
! - symmetry = P4/mmm (123)
! - total moment (Bohr magnetons per cell) = 3.81
! - DOS at the Fermi energy (states/eV/f.u.) = 2.53
! - ρ (g/cm3) = 5.081

# 7
! LaCrSi2 | Alexandria via LeMat-Bulk | GGA-PBE | relaxed; values from VASP
&SYSTEM
  ibrav = 0, nat = 4, ntyp = 3
/
ATOMIC_SPECIES
Si 28.09 Si.upf
Cr 52.00 Cr.upf
La 138.91 La.upf
ATOMIC_POSITIONS crystal
Si 0.0000 0.0000 0.0000
Si 0.2500 0.2500 0.2500
Cr 0.5000 0.5000 0.5000
La 0.7500 0.7500 0.7500
CELL_PARAMETERS angstrom
-2.2092 1.6358 3.8995
1.6700 -1.1082 4.3296
2.0738 3.3529 2.6870
! - uncorrected formation energy (kcal/mol of atoms) = 5.69
! - symmetry = F-43m (216)
! - total moment (Bohr magnetons per cell) = 3.08
! - DOS at the Fermi energy (states/eV/f.u.) = 1.87
! - ρ (g/cm3) = 5.343

# 8
! LaCr2Si | Alexandria via LeMat-Bulk | GGA-PBE | relaxed; values from VASP
&SYSTEM
  ibrav = 0, nat = 4, ntyp = 3
/
ATOMIC_SPECIES
Cr 52.00 Cr.upf
Si 28.09 Si.upf
La 138.91 La.upf
ATOMIC_POSITIONS crystal
Cr 0.7763 0.2763 0.5000
Cr 0.0189 0.0189 0.0000
Si 0.2138 0.7138 0.5000
La 0.4911 0.4911 0.0000
CELL_PARAMETERS angstrom
-0.1907 -4.9315 -3.0584
-1.8588 -5.0100 2.2703
-1.0824 5.5431 -1.3460
! - uncorrected formation energy (kcal/mol of atoms) = 8.26
! - symmetry = Imm2 (44)
! - total moment (Bohr magnetons per cell) = 1.02
! - DOS at the Fermi energy (states/eV/f.u.) = 3.12
! - ρ (g/cm3) = 6.108

> uncorrected formation energy of number 1 (LaCrSe)?

-6.21 kcal/mol of atoms